[1]
Computed, not measured: Li3NbW after structural relaxation at the PBEsol level of DFT.

Lattice parameters (Å, degrees): 4.3229 4.3229 4.3229 90.00 90.00 90.00
Closest atoms and distances in Å follow each position.
Space group Pm-3m (No. 221)
Symmetry-distinct sites (fractional):
Li: 0.0000 0.0000 0.5000  2 Nb 2.16
Nb: 0.0000 0.0000 0.0000  6 Li 2.16
W: 0.5000 0.5000 0.5000  12 Li 3.06

Output
Energy of formation ... 2.17 eV/atom

[2]
Computed, not measured: Y3Cu after structural relaxation at the PBEsol level of DFT.

Lattice parameters (Å, degrees): 10.0936 10.0936 3.4042 90.00 90.00 120.00
Closest atoms and distances in Å follow each position.
Space group R-3m (No. 166, hexagonal axes)
Symmetry-distinct sites (fractional):
Y: 0.0000 0.5000 0.0000  6 Y 3.13-3.40, 2 Cu 3.13
Cu: 0.0000 0.0000 0.0000  6 Y 3.13, 2 Cu 3.40

Output
Energy of formation ... 0.26 eV/atom

[3]
Computed, not measured: Co2TcMo after structural relaxation at the PBEsol level of DFT.

Lattice parameters (Å, degrees): 2.5846 4.1539 4.5107 90.00 90.00 90.00
Closest atoms and distances in Å follow each position.
Space group Pmm2 (No. 25)
Symmetry-distinct sites (fractional):
Co: 0.0000 0.0000 0.0000  4 Tc 2.51-2.69, 4 Co 2.55-2.58, 4 Mo 2.56
Co: 0.0000 0.5000 0.3261  4 Tc 2.54, 4 Co 2.55-2.58, 4 Mo 2.57-2.63
Tc: 0.5000 0.0000 0.4774  8 Co 2.51-2.69, 2 Tc 2.58, 2 Mo 2.63
Mo: 0.5000 0.5000 0.8349  8 Co 2.56-2.63, 2 Mo 2.58, 2 Tc 2.63

Output
ΔE to the lowest computed polymorph ... 0 meV/atom
Energy of formation ... -0.07 eV/atom

[4]
Computed, not measured: Tb5AgS8 after structural relaxation at the PBEsol level of DFT.

Lattice parameters (Å, degrees): 8.1864 8.1864 8.2695 90.00 90.00 90.00
Closest atoms and distances in Å follow each position.
Space group I-4 (No. 82)
Symmetry-distinct sites (fractional):
Tb: 0.0000 0.0000 0.0000  8 S 2.73-2.91
Tb: 0.1313 0.2487 0.6178  8 S 2.72-3.01
Ag: 0.0000 0.5000 0.2500  4 S 2.72
S: 0.0700 0.1782 0.2969  1 Ag 2.72, 5 Tb 2.73-3.01
S: 0.0770 0.3176 0.9348  5 Tb 2.72-2.97

Output
Formation energy from raw total energies ... -1.907 eV per atom

[5]
Computed, not measured: AlBi3O9 after structural relaxation at the PBEsol level of DFT.

Lattice parameters (Å, degrees): 10.1522 5.2143 13.0950 90.00 94.49 90.00
Closest atoms and distances in Å follow each position.
Space group Cc (No. 9)
Symmetry-distinct sites (fractional):
Al: 0.0000 0.0105 0.0000  6 O 1.88-1.96
Bi: 0.0831 0.0072 0.2362  6 O 2.08-2.25
Bi: 0.2324 0.4835 0.5667  6 O 2.06-2.21
Bi: 0.4058 0.0070 0.8847  6 O 2.07-2.24
O: 0.0366 0.1764 0.8772  1 Al 1.89
O: 0.0787 0.3050 0.4713  1 Al 1.88
O: 0.1401 0.1526 0.0841  1 Al 1.88
O: 0.1865 0.3327 0.7053  2 Bi 2.06-2.12
O: 0.2519 0.1823 0.3033  2 Bi 2.07-2.08
O: 0.3356 0.3609 0.9391  1 Al 1.96, 1 Bi 2.12
O: 0.3819 0.2064 0.5207  1 Al 1.93, 1 Bi 2.13
O: 0.4309 0.3824 0.1244  1 Al 1.94, 1 Bi 2.14
O: 0.4661 0.1691 0.7520  2 Bi 2.07-2.08

Output
Formation energy from raw total energies ... -1.122 eV per atom

[6]
Computed, not measured: Mg2TiO4 after structural relaxation at the PBEsol level of DFT.

Lattice parameters (Å, degrees): 5.9855 10.3157 14.6237 90.39 90.02 90.04
Closest atoms and distances in Å follow each position.
Space group P1 (No. 1)
Symmetry-distinct sites (fractional):
Mg: 0.0000 0.0000 0.0000  4 O 1.98-1.99
Mg: 0.0002 0.1663 0.4576  6 O 2.04-2.12
Mg: 0.0009 0.5002 0.1243  6 O 2.06-2.11
Mg: 0.0015 0.6656 0.3327  4 O 1.98-1.99
Mg: 0.0024 0.8339 0.7905  6 O 2.05-2.11
Mg: 0.0030 0.0009 0.2483  4 O 1.98
Mg: 0.0058 0.6669 0.5820  4 O 1.98-1.99
Mg: 0.0109 0.3334 0.9148  4 O 1.96-2.01
Mg: 0.2518 0.0842 0.7901  6 O 2.05-2.09
Mg: 0.4929 0.8352 0.6653  4 O 1.96-2.00
Mg: 0.4991 0.1671 0.3320  4 O 1.98
Mg: 0.4985 0.5006 0.9987  4 O 1.98-1.99
Mg: 0.4996 0.4997 0.2499  4 O 1.98
Mg: 0.5006 0.1673 0.9573  6 O 2.05-2.11
Mg: 0.5021 0.8334 0.2906  6 O 2.06-2.11
Mg: 0.5041 0.4997 0.6244  6 O 2.04-2.11
Mg: 0.5051 0.8331 0.9165  4 O 1.98-1.99
Mg: 0.5083 0.1654 0.5826  4 O 1.96-2.00
Mg: 0.7501 0.9174 0.4581  6 O 2.05-2.11
Mg: 0.7511 0.2507 0.1244  6 O 2.05-2.11
Mg: 0.7512 0.7504 0.1245  6 O 2.06-2.11
Mg: 0.7521 0.4160 0.4574  6 O 2.06-2.11
Mg: 0.7540 0.5817 0.7904  6 O 2.05-2.11
Mg: 0.9959 0.3336 0.6668  4 O 1.96-2.00
Ti: 0.0037 0.0009 0.6234  6 O 1.93-2.02
Ti: 0.2497 0.9176 0.4521  6 O 1.89-2.06
Ti: 0.2511 0.2545 0.1199  6 O 1.90-2.05
Ti: 0.2513 0.7463 0.1281  6 O 1.90-2.06
Ti: 0.2519 0.4119 0.4621  6 O 1.89-2.06
Ti: 0.2544 0.5906 0.7881  6 O 1.89-2.06
Ti: 0.4999 0.3340 0.7901  6 O 1.93-2.02
Ti: 0.5132 0.0006 0.1241  6 O 1.89-2.06
Ti: 0.5161 0.6657 0.4581  6 O 1.89-2.08
Ti: 0.7519 0.0795 0.7949  6 O 1.89-2.06
Ti: 0.9878 0.6661 0.9581  6 O 1.89-2.09
Ti: 0.9895 0.3334 0.2910  6 O 1.90-2.06
O: 0.0095 0.8495 0.5405  2 Ti 1.97-2.06, 2 Mg 1.98-2.09
O: 0.0124 0.8169 0.0404  2 Ti 1.97-2.06, 2 Mg 1.98-2.11
O: 0.0129 0.1837 0.2075  2 Ti 1.97-2.05, 2 Mg 1.98-2.10
O: 0.0139 0.3259 0.0505  1 Ti 1.90, 3 Mg 1.99-2.09
O: 0.0136 0.4832 0.3742  2 Ti 1.97-2.06, 2 Mg 1.98-2.10
O: 0.0140 0.6748 0.1975  1 Ti 1.90, 3 Mg 1.98-2.09
O: 0.0145 0.3411 0.5313  1 Ti 1.89, 3 Mg 1.99-2.10
O: 0.0148 0.9919 0.3837  1 Ti 1.89, 3 Mg 1.98-2.09
O: 0.0164 0.6582 0.7174  1 Ti 1.90, 3 Mg 1.98-2.10
O: 0.0170 0.5169 0.8747  2 Ti 1.96-2.05, 2 Mg 1.99-2.11
O: 0.2215 0.9259 0.7053  1 Ti 1.93, 3 Mg 1.96-2.05
O: 0.2355 0.0692 0.5407  2 Ti 1.97-2.03, 2 Mg 2.00-2.12
O: 0.2348 0.2647 0.3762  2 Ti 1.97-2.05, 2 Mg 1.98-2.11
O: 0.2351 0.4018 0.2056  2 Ti 1.97-2.06, 2 Mg 1.98-2.10
O: 0.2347 0.5986 0.0425  2 Ti 1.97-2.05, 2 Mg 1.98-2.11
O: 0.2378 0.7369 0.8721  2 Ti 1.94-2.09, 2 Mg 1.99-2.10
O: 0.2665 0.7571 0.3833  2 Ti 1.93-2.08, 2 Mg 1.99-2.11
O: 0.2672 0.0907 0.0493  2 Ti 1.98-2.06, 2 Mg 1.98-2.10
O: 0.2673 0.9094 0.1980  2 Ti 1.96-2.06, 2 Mg 1.98-2.11
O: 0.2685 0.4219 0.7168  2 Ti 1.98-2.02, 2 Mg 2.00-2.11
O: 0.2698 0.5756 0.5318  2 Ti 1.97-2.05, 2 Mg 1.98-2.11
O: 0.2821 0.2500 0.8672  1 Ti 1.93, 3 Mg 1.96-2.05
O: 0.4862 0.9894 0.3829  1 Ti 1.89, 3 Mg 1.98-2.10
O: 0.4882 0.1611 0.1965  2 Ti 1.96-2.05, 2 Mg 1.98-2.11
O: 0.4882 0.6773 0.1990  1 Ti 1.90, 3 Mg 1.98-2.09
O: 0.4884 0.8269 0.5297  2 Ti 1.97-2.05, 2 Mg 1.98-2.11
O: 0.4894 0.6567 0.7159  1 Ti 1.89, 3 Mg 1.99-2.09
O: 0.4897 0.3232 0.0496  1 Ti 1.90, 3 Mg 1.98-2.09
O: 0.4897 0.3434 0.5323  1 Ti 1.90, 3 Mg 1.99-2.10
O: 0.4905 0.5057 0.3854  2 Ti 1.96-2.06, 2 Mg 1.98-2.11
O: 0.4901 0.8394 0.0518  2 Ti 1.97-2.06, 2 Mg 1.98-2.10
O: 0.4943 0.4953 0.8631  2 Ti 1.97-2.06, 2 Mg 1.98-2.09
O: 0.5125 0.1720 0.7183  2 Ti 1.97-2.06, 2 Mg 1.99-2.09
O: 0.5154 0.0105 0.8652  1 Ti 1.89, 3 Mg 1.98-2.10
O: 0.7232 0.0816 0.0468  1 Ti 1.89, 3 Mg 1.98-2.08
O: 0.7234 0.4161 0.7132  1 Ti 1.95, 3 Mg 1.96-2.05
O: 0.7232 0.7472 0.3790  1 Ti 1.90, 3 Mg 1.98-2.10
O: 0.7236 0.9201 0.2027  1 Ti 1.90, 3 Mg 1.98-2.09
O: 0.7262 0.5862 0.5357  1 Ti 1.89, 3 Mg 1.99-2.10
O: 0.7370 0.2450 0.8656  2 Ti 1.99-2.02, 2 Mg 2.01-2.11
O: 0.7666 0.9299 0.7082  2 Ti 1.99-2.02, 2 Mg 2.00-2.11
O: 0.7780 0.5892 0.0373  1 Ti 1.89, 3 Mg 1.99-2.10
O: 0.7787 0.2554 0.3703  1 Ti 1.90, 3 Mg 1.98-2.09
O: 0.7790 0.4116 0.2114  1 Ti 1.90, 3 Mg 1.98-2.09
O: 0.7806 0.0757 0.5429  1 Ti 1.94, 3 Mg 1.96-2.05
O: 0.7810 0.7428 0.8771  1 Ti 1.89, 3 Mg 1.98-2.09
O: 0.9882 0.0087 0.8644  1 Ti 1.89, 3 Mg 1.99-2.10
O: 0.9911 0.1505 0.7077  2 Ti 1.97-2.06, 2 Mg 1.99-2.09

Output
Formation energy from raw total energies ... -2.903 eV per atom
ΔE to the lowest computed polymorph ... 3 meV/atom

[7]
Computed, not measured: La2SbWF after structural relaxation at the PBEsol level of DFT.

Lattice parameters (Å, degrees): 6.0603 6.0603 4.1738 90.00 90.00 90.00
Closest atoms and distances in Å follow each position.
Space group P4/mmm (No. 123)
Symmetry-distinct sites (fractional):
La: 0.0000 0.5000 0.0000  2 Sb 3.03
Sb: 0.0000 0.0000 0.0000  2 F 2.09
W: 0.5000 0.5000 0.5000  8 La 3.68
F: 0.0000 0.0000 0.5000  2 Sb 2.09

Output
Formation energy from raw total energies ... 0.474 eV per atom

[8]
Computed, not measured: Ca2Ni after structural relaxation at the PBEsol level of DFT.

Lattice parameters (Å, degrees): 14.5783 3.9351 5.8706 90.00 101.18 90.00
Closest atoms and distances in Å follow each position.
Space group C2/m (No. 12)
Symmetry-distinct sites (fractional):
Ca: 0.0894 0.0000 0.2948  3 Ni 2.85-2.87
Ca: 0.1631 0.5000 0.8238  3 Ni 2.89-2.94
Ni: 0.2357 0.5000 0.3895  2 Ni 2.35

Output
Energy of formation ... -0.11 eV/atom

[9]
Computed, not measured: RbLiHg3 after structural relaxation at the PBEsol level of DFT.

Lattice parameters (Å, degrees): 6.3114 6.3114 6.3114 90.00 90.00 90.00
Closest atoms and distances in Å follow each position.
Space group Pm-3m (No. 221)
Symmetry-distinct sites (fractional):
Rb: 0.0000 0.0000 0.0000  6 Hg 3.16
Li: 0.5000 0.5000 0.5000  12 Hg 4.46
Hg: 0.0000 0.0000 0.5000  2 Rb 3.16

Output
ΔE to the lowest computed polymorph ... 581 meV/atom
Energy of formation ... 0.41 eV/atom

[10]
Computed, not measured: Ti2Ga2Ir after structural relaxation at the PBEsol level of DFT.

Lattice parameters (Å, degrees): 6.4095 6.4095 3.6600 90.00 90.00 90.00
Closest atoms and distances in Å follow each position.
Space group P4/mbm (No. 127)
Symmetry-distinct sites (fractional):
Ti: 0.1697 0.3303 0.0000  6 Ga 2.55-2.68
Ga: 0.1339 0.6339 0.5000  1 Ga 2.43, 2 Ir 2.50, 6 Ti 2.55-2.68
Ir: 0.0000 0.0000 0.5000  4 Ga 2.50

Output
Energy of formation ... -0.59 eV/atom

Number 1: size of the total moment 2.00 μB/f.u., VASP energy -19.661 eV/f.u.. Number 2: size of the total moment 0.00 μB/f.u., VASP energy -23.780 eV/f.u.. Number 3: size of the total moment 0.00 μB/f.u., VASP energy -38.781 eV/f.u.. Number 4: size of the total moment 0.00 μB/f.u., VASP energy -90.131 eV/f.u.. Number 5: size of the total moment 0.00 μB/f.u., VASP energy -78.782 eV/f.u.. Number 6: size of the total moment 0.00 μB/f.u., VASP energy -53.077 eV/f.u.. Number 7: size of the total moment 3.30 μB/f.u., VASP energy -28.615 eV/f.u.. Number 8: size of the total moment 0.00 μB/f.u., VASP energy -10.745 eV/f.u.. Number 9: size of the total moment 0.00 μB/f.u., VASP energy -2.639 eV/f.u.. Number 10: size of the total moment 0.00 μB/f.u., VASP energy -36.108 eV/f.u..